(1)
Compound: Mg3RhC
Source: the Alexandria database
Functional: PBE-GGA
Structure: relaxed

The structure in extended XYZ format:
```
5
Lattice="4.2932 0.0000 0.0000 0.0000 4.2932 0.0000 0.0000 0.0000 4.2932" Properties=species:S:1:pos:R:3 pbc="T T T"
Mg 0.0000 0.0000 2.1466
Mg 2.1466 0.0000 0.0000
Rh 2.1466 2.1466 2.1466
Mg 0.0000 2.1466 0.0000
C 0.0000 0.0000 0.0000
```

Summary:
**Symmetry**: Pm-3m, No. 221
**Density**: 3.94 Mg/m³
**Total DFT energy (no corrections)**: -20.22 eV/cell
**Total moment**: 0.0 μB per formula unit



(2)
Compound: NaAgRuSe2
Source: the Alexandria database
Functional: PBE-GGA
Structure: relaxed

The structure in extended XYZ format:
```
5
Lattice="5.0444 0.0000 0.0000 0.0000 4.7423 0.0000 0.0000 0.0000 5.0444" Properties=species:S:1:pos:R:3 pbc="T T T"
Ag 0.0000 2.3711 0.0000
Se 2.5222 0.0000 0.0000
Ru 2.5222 2.3711 2.5222
Na 0.0000 0.0000 0.0000
Se 0.0000 0.0000 2.5222
```

Summary:
**Raw formation energy**: 1156 meV per atom
**Symmetry**: P4/mmm, No. 123
**Density**: 5.36 Mg/m³
**Total moment**: 2.4 μB per formula unit



(3)
Compound: V2AgOs2
Source: the Alexandria database
Functional: PBE-GGA
Structure: relaxed

The structure in extended XYZ format:
```
10
Lattice="-2.9921 -6.6948 -0.2374 5.0830 -2.0995 -4.8563 1.6876 -0.8296 2.1250" Properties=species:S:1:pos:R:3 pbc="T T T"
V 0.5916 -3.0543 0.2323
Ag 0.0000 0.0000 0.0000
Os 0.6760 -7.1035 -3.3100
Os 1.4150 -1.6908 -1.7838
V 3.1868 -6.5696 -3.2010
V 0.0711 -6.8046 -0.8184
Ag 1.0455 -4.3972 -2.5469
Os -1.2044 -4.5743 -0.8293
Os 3.2953 -4.2200 -4.2644
V 3.7074 -2.8193 -2.1503
```

Summary:
**Symmetry**: P4/mbm, No. 127
**Density**: 12.83 Mg/m³
**Total DFT energy (no corrections)**: -86.15 eV/cell
**Total moment**: 0.0 μB per formula unit



(4)
Compound: SrNbTe2I
Source: the Alexandria database
Functional: PBE-GGA
Structure: relaxed

The structure in extended XYZ format:
```
5
Lattice="5.5262 0.0000 0.0000 0.0000 5.5262 0.0000 0.0000 0.0000 5.7475" Properties=species:S:1:pos:R:3 pbc="T T T"
I 0.0000 0.0000 2.8737
Sr 2.7631 2.7631 2.8737
Te 2.7631 0.0000 0.0000
Te 0.0000 2.7631 0.0000
Nb 0.0000 0.0000 0.0000
```

Summary:
**Raw formation energy**: -489 meV per atom
**Symmetry**: P4/mmm, No. 123
**Density**: 5.32 Mg/m³
**Total moment**: 1.7 μB per formula unit



(5)
Compound: CaCuSb
Source: the Alexandria database
Functional: PBE-GGA
Structure: relaxed

The structure in extended XYZ format:
```
6
Lattice="-1.2570 -3.5552 2.3359 2.9929 -3.0599 1.1658 3.9464 3.4471 7.3727" Properties=species:S:1:pos:R:3 pbc="T T T"
Sb 2.1696 -1.8914 1.6510
Cu -0.3372 -1.2926 1.2121
Sb 4.0920 -4.1677 7.6461
Cu 2.9589 0.3064 5.4214
Ca 3.8961 -0.8786 8.3359
Ca 3.1597 -2.9536 4.7811
```

Summary:
**Raw formation energy**: -601 meV per atom
**Symmetry**: Cm, No. 8
**Density**: 5.06 Mg/m³
**Total moment**: 0.0 μB per formula unit



(6)
Compound: AlZn4P
Source: the Alexandria database
Functional: PBE-GGA
Structure: relaxed

The structure in extended XYZ format:
```
6
Lattice="0.0000 3.6447 3.6447 3.6447 0.0000 3.6447 3.6447 3.6447 0.0000" Properties=species:S:1:pos:R:3 pbc="T T T"
Zn 4.5581 2.7313 4.5581
P 0.0000 0.0000 0.0000
Zn 4.5581 4.5581 2.7313
Al 5.4670 5.4670 5.4670
Zn 2.7313 2.7313 2.7313
Zn 2.7313 4.5581 4.5581
```

Summary:
**Symmetry**: F-43m, No. 216
**Density**: 5.48 Mg/m³
**Total DFT energy (no corrections)**: -12.61 eV/cell
**Total moment**: 0.0 μB per formula unit



(7)
Compound: KPrGa
Source: the Alexandria database
Functional: PBE-GGA
Structure: relaxed

The structure in extended XYZ format:
```
6
Lattice="3.9492 -0.0115 -0.3943 -0.0307 3.9491 -0.3943 -2.4839 -2.4960 14.8198" Properties=species:S:1:pos:R:3 pbc="T T T"
Ga 3.2018 3.2174 1.9917
Pr 0.3297 0.3313 13.0080
Pr 1.1049 1.1103 1.0232
K 1.4761 1.4833 4.7799
K -0.0415 -0.0417 9.2512
Ga -1.7672 -1.7758 12.0395
```

Summary:
**Symmetry**: C2/m, No. 12
**Density**: 3.71 Mg/m³
**Total DFT energy (no corrections)**: -18.58 eV/cell
**Total moment**: 0.2 μB per formula unit



(8)
Compound: CdSn2HgOs
Source: the Alexandria database
Functional: PBE-GGA
Structure: relaxed

The structure in extended XYZ format:
```
5
Lattice="-3.4960 -0.6433 -3.6680 3.7098 -0.1636 -3.5071 0.3434 -5.3641 0.6135" Properties=species:S:1:pos:R:3 pbc="T T T"
Os 0.0000 0.0000 0.0000
Cd 0.1717 -2.6821 0.3067
Hg 0.2786 -3.0855 -3.2808
Sn -1.7480 -0.3216 -1.8340
Sn 1.8549 -0.0818 -1.7536
```

Summary:
**Symmetry**: P4/mmm, No. 123
**Density**: 8.71 Mg/m³
**Total DFT energy (no corrections)**: -19.58 eV/cell
**Total moment**: 0.0 μB per formula unit



(9)
Compound: TlRuW2
Source: the Alexandria database
Functional: PBE-GGA
Structure: relaxed

The structure in extended XYZ format:
```
4
Lattice="5.4221 0.0085 -0.0005 2.4199 4.8521 0.0005 -3.3375 -3.3718 2.6252" Properties=species:S:1:pos:R:3 pbc="T T T"
W 0.1806 0.1119 0.0000
Tl 2.9829 -0.4788 1.3124
W 1.4690 1.9351 1.3128
Ru 3.7931 2.3510 0.0000
```

Summary:
**Symmetry**: Imm2, No. 44
**Density**: 16.20 Mg/m³
**Total DFT energy (no corrections)**: -34.61 eV/cell
**Total moment**: 0.0 μB per formula unit



(10)
Compound: Ti3RhBr
Source: the Alexandria database
Functional: PBE-GGA
Structure: relaxed

The structure in extended XYZ format:
```
5
Lattice="4.5687 0.0000 0.0000 0.0000 4.5687 0.0000 0.0000 0.0000 4.5687" Properties=species:S:1:pos:R:3 pbc="T T T"
Ti 0.0000 2.2843 0.0000
Ti 2.2843 0.0000 0.0000
Ti 0.0000 0.0000 2.2843
Br 0.0000 0.0000 0.0000
Rh 2.2843 2.2843 2.2843
```

Summary:
**Raw formation energy**: 535 meV per atom
**Symmetry**: Pm-3m, No. 221
**Density**: 5.68 Mg/m³
**Total moment**: 0.0 μB per formula unit



(11)
Compound: Ce2MgCd2
Source: the Alexandria database
Functional: PBE-GGA
Structure: relaxed

The structure in extended XYZ format:
```
10
Lattice="-4.6728 1.4575 -3.6101 -5.6404 0.5426 2.3963 -8.0941 7.8086 8.5058" Properties=species:S:1:pos:R:3 pbc="T T T"
Cd -14.2907 8.2789 5.1761
Cd -6.2438 3.7354 0.6365
Ce -3.8545 1.2726 -1.0145
Cd -12.1635 6.0733 6.6555
Cd -4.1165 1.5298 2.1159
Ce -8.9568 4.7571 1.8732
Mg -11.5342 7.2565 3.8467
Ce -14.5528 8.5361 8.3064
Ce -9.4504 5.0517 5.4188
Mg -6.8730 2.5522 3.4453
```

Summary:
**Symmetry**: C2/c, No. 15
**Density**: 7.01 Mg/m³
**Total DFT energy (no corrections)**: -31.64 eV/cell
**Total moment**: 1.7 μB per formula unit



(12)
Compound: CsCuHg2Te
Source: the Alexandria database
Functional: PBE-GGA
Structure: relaxed

The structure in extended XYZ format:
```
5
Lattice="5.5471 0.0000 0.0000 0.0000 5.5471 0.0000 0.0000 0.0000 5.3443" Properties=species:S:1:pos:R:3 pbc="T T T"
Hg 0.0000 2.7735 0.0000
Cs 2.7735 2.7735 2.6722
Cu 0.0000 0.0000 0.0000
Hg 2.7735 0.0000 0.0000
Te 0.0000 0.0000 2.6722
```

Summary:
**Raw formation energy**: -269 meV per atom
**Symmetry**: P4/mmm, No. 123
**Density**: 7.32 Mg/m³
**Total moment**: 0.0 μB per formula unit



(13)
Compound: AlH3O3
Source: the Alexandria database
Functional: PBE-GGA
Structure: relaxed

The structure in extended XYZ format:
```
56
Lattice="-3.7098 3.0382 2.0328 -4.9163 -6.8991 1.3394 5.4065 1.0092 8.3583" Properties=species:S:1:pos:R:3 pbc="T T T"
H -2.8333 -1.4845 5.3604
O -0.1458 -3.6185 9.0576
H -3.1442 -4.2792 3.0162
H -2.8306 -5.3193 4.7223
Al 0.0718 0.7730 5.3780
H -3.7396 -2.8258 8.7850
Al 4.4800 -0.1187 8.6229
O 2.9292 1.0333 8.4130
O -3.1988 -3.1519 10.5042
H -2.1671 -0.7076 8.3964
H -4.1555 -1.7977 3.8254
O -3.5660 -4.2679 2.1216
H -0.9048 -4.1780 9.3274
O -4.1549 -2.7994 7.8854
O -0.6928 1.5353 7.0287
H -2.6476 -3.8872 10.1655
O -4.9996 -4.3955 5.8305
O -2.5268 -4.3870 4.7019
O -1.8731 -1.7055 1.7831
O -1.3465 -1.1462 9.9474
O -6.1488 -3.8850 3.3175
H -0.3889 2.4676 7.0082
O -1.7533 0.4174 5.0990
H 2.5875 1.1664 5.4941
O -3.0737 0.7668 2.6729
H -0.5720 1.0355 1.5650
H -2.3148 1.3264 2.4031
H -5.8071 -4.0181 6.2364
O 0.4501 -0.8896 6.1705
O -1.4663 -3.2691 6.6315
Al -0.6572 -4.0391 5.0791
O -0.0208 0.3002 1.2264
O 0.9353 -0.0522 3.8452
H -1.0524 -2.1441 3.3342
O 1.7801 1.5438 5.9000
Al -3.2914 -3.6246 6.3526
H -0.9845 -3.3295 7.4932
Al 0.3255 -2.1254 10.2011
O -2.6282 -0.4423 7.5669
H 0.5200 -0.0259 2.9455
H -0.0754 1.4276 8.7143
H 0.9359 -1.0540 7.9051
O 0.3465 1.4162 9.6089
Al -7.6995 -2.7329 3.1076
O -4.3895 -1.7184 2.8716
H 2.4570 1.1063 7.5446
H -2.2351 0.4779 4.2373
Al -2.5624 1.1875 6.6514
H -2.1467 -2.6439 1.6743
H -5.6765 -3.9579 4.1859
O -0.5914 -2.4093 4.1637
H -0.3863 -1.3672 6.3701
O 1.1699 -1.1333 8.8590
O -3.6696 -1.9621 5.5600
Al -3.5450 -0.7263 1.5294
H -1.0728 -0.2078 10.0562
```

Summary:
**Symmetry**: P2_1/c, No. 14
**Density**: 2.40 Mg/m³
**Total DFT energy (no corrections)**: -327.24 eV/cell
**Total moment**: 0.0 μB per formula unit



(14)
Compound: Hg3Pb8
Source: the Alexandria database
Functional: PBE-GGA
Structure: relaxed

The structure in extended XYZ format:
```
11
Lattice="-0.5378 -3.0336 1.8310 -3.0019 -1.3679 -6.6555 13.8600 -2.0175 0.7283" Properties=species:S:1:pos:R:3 pbc="T T T"
Pb 5.0116 -3.2486 -3.9104
Hg 0.0000 0.0000 0.0000
Pb -0.4830 -2.9900 -5.0957
Hg 1.9975 -4.5741 -3.4843
Pb 5.3088 -3.1704 -0.1859
Pb 2.6748 -1.6084 -1.8792
Pb 10.7695 -3.4338 -2.5260
Pb 10.8035 -3.4290 0.9994
Pb -0.4491 -2.9852 -1.5703
Pb 7.6456 -4.8106 -2.2171
Hg 8.3229 -1.8449 -0.6120
```

Summary:
**Symmetry**: C2/m, No. 12
**Density**: 11.48 Mg/m³
**Total DFT energy (no corrections)**: -30.42 eV/cell
**Total moment**: 0.0 μB per formula unit



(15)
Compound: RbCrS2
Source: the Alexandria database
Functional: PBE-GGA
Structure: relaxed

The structure in extended XYZ format:
```
8
Lattice="2.0321 -9.4304 0.0000 2.0321 9.4304 0.0000 0.0000 0.0000 5.4171" Properties=species:S:1:pos:R:3 pbc="T T T"
Cr 2.0321 0.6253 1.3543
S 2.0321 -9.3436 4.0629
Cr 2.0321 -0.6253 4.0629
S 2.0321 9.3436 1.3543
S 2.0321 -2.7594 4.0629
Rb 2.0321 6.1867 1.3543
S 2.0321 2.7594 1.3543
Rb 2.0321 -6.1867 4.0629
```

Summary:
**Raw formation energy**: -393 meV per atom
**Symmetry**: Cmcm, No. 63
**Density**: 3.22 Mg/m³
**Total moment**: 0.0 μB per formula unit



(16)
Compound: Mg2CuSi2Pd5
Source: the Alexandria database
Functional: PBE-GGA
Structure: relaxed

The structure in extended XYZ format:
```
20
Lattice="3.4443 0.0000 0.0000 0.0000 9.5272 0.0000 0.0000 0.0000 9.5272" Properties=species:S:1:pos:R:3 pbc="T T T"
Pd 1.7222 1.9208 0.7157
Pd 1.7222 8.8115 1.9208
Mg 0.0000 6.3868 1.6232
Mg 0.0000 1.6232 3.1404
Pd 1.7222 5.4793 6.6844
Cu 0.0000 4.7636 4.7636
Pd 1.7222 0.7157 7.6064
Pd 1.7222 0.0000 4.7636
Pd 1.7222 2.8428 5.4793
Si 0.0000 3.5222 1.2414
Cu 0.0000 0.0000 0.0000
Si 0.0000 6.0051 8.2858
Pd 1.7222 4.0479 2.8428
Si 0.0000 8.2858 3.5222
Pd 1.7222 4.7636 0.0000
Pd 1.7222 6.6844 4.0479
Si 0.0000 1.2414 6.0051
Mg 0.0000 7.9040 6.3868
Mg 0.0000 3.1404 7.9040
Pd 1.7222 7.6064 8.8115
```

Summary:
**Raw formation energy**: -547 meV per atom
**Symmetry**: P4/mbm, No. 127
**Density**: 7.44 Mg/m³
**Total moment**: 0.0 μB per formula unit



(17)
Compound: Dy4AsS2
Source: the Alexandria database
Functional: PBE-GGA
Structure: relaxed

The structure in extended XYZ format:
```
7
Lattice="3.7842 0.0000 -1.0349 -0.6176 6.2370 -2.2584 0.0619 -0.8801 7.6623" Properties=species:S:1:pos:R:3 pbc="T T T"
S 0.8491 1.1125 3.1048
As 0.0000 0.0000 0.0000
Dy 0.0036 4.7022 0.0131
Dy 1.0075 3.7651 3.6840
Dy 2.2209 1.5918 0.6850
Dy 3.2248 0.6547 4.3559
S 2.3793 4.2444 1.2643
```

Summary:
**Raw formation energy**: -1490 meV per atom
**Symmetry**: C2/m, No. 12
**Density**: 7.57 Mg/m³
**Total moment**: 0.0 μB per formula unit



(18)
Compound: Nd5Mg2In
Source: the Alexandria database
Functional: PBE-GGA
Structure: relaxed

The structure in extended XYZ format:
```
8
Lattice="6.4717 -0.0651 -2.1698 -3.3603 5.5306 -2.1716 0.0330 0.0602 6.8258" Properties=species:S:1:pos:R:3 pbc="T T T"
Nd 0.8810 1.5508 2.2071
In 2.4236 4.2545 -3.3800
Nd 4.1332 1.5471 4.5340
Nd -0.8130 4.2837 -2.2928
Nd 0.8647 1.5167 -1.2052
Nd 2.4358 4.2822 0.0341
Mg -0.8015 4.3120 1.1229
Mg 4.1146 1.5143 1.1236
```

Summary:
**Symmetry**: I4mm, No. 107
**Density**: 6.01 Mg/m³
**Total DFT energy (no corrections)**: -30.83 eV/cell
**Total moment**: 0.0 μB per formula unit



(19)
Compound: Cs3Sb2Pd4
Source: the Alexandria database
Functional: PBE-GGA
Structure: relaxed

The structure in extended XYZ format:
```
9
Lattice="4.6066 0.0000 0.0000 -2.3033 6.4519 -2.1288 0.0000 -0.7102 9.7558" Properties=species:S:1:pos:R:3 pbc="T T T"
Sb 2.3033 1.7138 6.8625
Pd 0.0000 0.6476 5.8998
Pd 2.3033 3.1195 -0.2856
Pd 2.3033 5.0941 1.7273
Sb 0.0000 4.0279 0.7645
Cs 2.3033 1.3970 3.1055
Cs 0.0000 0.0000 0.0000
Cs 0.0000 4.3448 4.5215
Pd 0.0000 2.6222 7.9126
```

Summary:
**Raw formation energy**: -326 meV per atom
**Symmetry**: C2/m, No. 12
**Density**: 6.27 Mg/m³
**Total moment**: 0.0 μB per formula unit



(20)
Compound: CsCa2HgSb
Source: the Alexandria database
Functional: PBE-GGA
Structure: relaxed

The structure in extended XYZ format:
```
5
Lattice="5.9351 0.0000 0.0000 0.0000 6.2390 0.0000 0.0000 0.0000 5.9351" Properties=species:S:1:pos:R:3 pbc="T T T"
Ca 0.0000 0.0000 2.9676
Ca 2.9676 0.0000 0.0000
Hg 0.0000 0.0000 0.0000
Cs 0.0000 3.1195 0.0000
Sb 2.9676 3.1195 2.9676
```

Summary:
**Raw formation energy**: 2 meV per atom
**Symmetry**: P4/mmm, No. 123
**Density**: 4.05 Mg/m³
**Total moment**: 0.0 μB per formula unit



(21)
Compound: Si4C5
Source: the Alexandria database
Functional: PBE-GGA
Structure: relaxed

The structure in extended XYZ format:
```
9
Lattice="-0.1611 -5.3632 -4.1743 0.5566 3.5432 5.7750 -6.7870 0.3427 0.1829" Properties=species:S:1:pos:R:3 pbc="T T T"
C -3.4703 -1.2258 1.3477
C -2.9212 -0.2515 0.4359
Si -5.5165 -3.9861 -3.1690
Si -1.4316 -1.0344 -0.8224
C 0.3975 1.5690 3.5696
C -0.0020 -3.3890 -1.9689
Si -1.2837 0.8006 1.2275
C 0.0000 0.0000 0.0000
Si -4.9467 3.0853 4.7303
```

Summary:
**Raw formation energy**: 626 meV per atom
**Symmetry**: I4/mmm, No. 139
**Density**: 2.61 Mg/m³
**Total moment**: 0.0 μB per formula unit



(22)
Compound: NaPr2Br8
Source: the Alexandria database
Functional: PBE-GGA
Structure: relaxed

The structure in extended XYZ format:
```
11
Lattice="5.7314 0.1081 0.1622 -0.7962 8.2124 -0.0677 -0.7962 -3.2254 7.5528" Properties=species:S:1:pos:R:3 pbc="T T T"
Br 4.0894 5.5587 5.1752
Br 2.0695 -0.4679 5.8327
Br 0.0496 -0.4637 2.4721
Pr -0.7962 0.2698 5.2241
Br 4.0894 2.6350 7.1231
Br 0.0496 2.4600 0.5242
Pr -0.7962 4.7172 2.2610
Br 3.3308 2.1334 3.2022
Br 0.8082 2.9616 4.4451
Na 2.8657 0.0540 0.0811
Br 2.0695 5.5630 1.8146
```

Summary:
**Raw formation energy**: -1555 meV per atom
**Symmetry**: C2/m, No. 12
**Density**: 4.40 Mg/m³
**Total moment**: 1.0 μB per formula unit



(23)
Compound: AlSi2WI
Source: the Alexandria database
Functional: PBE-GGA
Structure: relaxed

The structure in extended XYZ format:
```
5
Lattice="-4.6596 -2.2458 -0.9421 1.5970 -4.2649 2.2680 -1.7909 1.7814 4.6111" Properties=species:S:1:pos:R:3 pbc="T T T"
Si -0.8955 0.8907 2.3055
Al -2.4267 -2.3646 2.9685
W 0.7985 -2.1325 1.1340
Si -2.3298 -1.1229 -0.4711
I 0.0000 0.0000 0.0000
```

Summary:
**Raw formation energy**: 2276 meV per atom
**Symmetry**: P4/mmm, No. 123
**Density**: 4.65 Mg/m³
**Total moment**: 2.2 μB per formula unit